DFT (GGA-PBE) results for a geometry-optimized Sc2Be9Nb structure.

abc: 4.6066 4.6066 21.9074
angles: 90.00 90.00 120.00
Closest atoms and distances in Å follow each position.
Space group R-3m (No. 166, hexagonal axes)
Inequivalent atoms, fractional coordinates:
Sc: 0.0000 0.0000 0.1379 x6  12 Be 2.67-2.93, 3 Sc 2.94
Be: 0.0000 0.0000 0.3333 x6  6 Be 2.13-2.14
Be: 0.0000 0.0000 0.5000 x3  6 Be 2.38
Be: 0.0015 0.5008 0.0764 x18  7 Be 2.13-2.38
Nb: 0.0000 0.0000 0.0000 x3  18 Be 2.66-2.85

Properties
VASP energy, eV per atom: -4.833
Energy of formation, meV/atom: -144

***

DFT (GGA-PBE) results for a geometry-optimized SrYBr structure.

abc: 5.2658 5.2658 4.4278
angles: 90.00 90.00 120.00
Closest atoms and distances in Å follow each position.
Space group P3m1 (No. 156)
Inequivalent atoms, fractional coordinates:
Sr: 0.0000 0.0000 0.0000 x1  6 Br 3.76, 6 Y 3.76
Y: 0.6667 0.3333 0.5003 x1  3 Br 3.04
Br: 0.3333 0.6667 0.5016 x1  3 Y 3.04

Properties
E_form (uncorrected), eV/atom: -0.380
VASP energy, eV per atom: -3.653